CaCd2Pb after structural relaxation, computed with PBE-GGA.

Properties
As for the crystal system: orthorhombic. For the total moment, the calculation gives 0.00 Bohr magnetons per cell. Its space group is Pmmm (47). The total energy is -2.10 eV per atom.

abc: 3.7581 4.4174 6.6221
angles: 90.00 90.00 90.00
Last column: nearest neighbours and their distance in Å.
Atoms (fractional coordinates):
Pb  0.5000  0.5000  0.2500  2 Ca 3.31, 8 Cd 3.32
Ca  0.5000  0.5000  0.7500  2 Pb 3.31, 8 Cd 3.35
Cd  0.0000  0.0000  0.0048  2 Cd 3.25-3.37, 4 Pb 3.32, 4 Ca 3.35
Cd  0.0000  0.0000  0.4952  2 Cd 3.25-3.37, 4 Pb 3.32, 4 Ca 3.35